HgGeN3: optimized geometry, PBE.

Cell and atoms, written as CIF:
```
data_HgGeN3
_chemical_formula_sum 'Hg1 Ge1 N3'
_symmetry_space_group_name_H-M 'P 1'
_symmetry_Int_Tables_number 1
_cell_length_a 4.244
_cell_length_b 4.244
_cell_length_c 4.244
_cell_angle_alpha 90.00
_cell_angle_beta 90.00
_cell_angle_gamma 90.00
loop_
_symmetry_equiv_pos_as_xyz
'x,y,z'
loop_
_atom_site_label
_atom_site_fract_x
_atom_site_fract_y
_atom_site_fract_z
Hg1 0.000 0.000 0.000
Ge1 0.500 0.500 0.500
N1 0.000 0.000 0.500
N2 0.000 0.500 0.000
N3 0.500 0.000 0.000
```

The uncorrected formation energy is 2540 meV per atom. Its space group is Pm-3m (221). The value obtained for the volume is 15.29 Å³ per atom.